Entry 1:
Compound: RbSb2TeOs
Source: Alexandria via LeMat-Bulk
Functional: PBE
Structure: relaxed

Output
raw formation energy	261.2	meV/atom

Unit cell a=5.0987 b=5.0987 c=6.2124 alpha=90.00 beta=90.00 gamma=90.00
With the nearest neighbours (Å) after each atom.
Positions (direct):
1 Rb 0.0000 0.0000 0.0000  4 Te 3.61, 8 Sb 4.02
2 Sb 0.0000 0.5000 0.5000  2 Os 2.55
3 Sb 0.5000 0.0000 0.5000  2 Os 2.55
4 Te 0.5000 0.5000 0.0000  2 Os 3.11
5 Os 0.5000 0.5000 0.5000  4 Sb 2.55



Entry 2:
Compound: Rb2ScOs
Source: Alexandria via LeMat-Bulk
Functional: PBE
Structure: relaxed

Output
ΔH_f (0 K)	1.872	eV per atom

Unit cell a=5.5024 b=5.5024 c=5.5024 alpha=60.00 beta=60.00 gamma=60.00
With the nearest neighbours (Å) after each atom.
Positions (direct):
1 Rb 0.2500 0.2500 0.2500  4 Os 3.37, 4 Sc 3.37
2 Rb 0.7500 0.7500 0.7500  4 Os 3.37, 4 Sc 3.37
3 Sc 0.0000 0.0000 0.0000  8 Rb 3.37
4 Os 0.5000 0.5000 0.5000  8 Rb 3.37



Entry 3:
Compound: Rb2ScOs2
Source: Alexandria via LeMat-Bulk
Functional: PBE
Structure: relaxed

Output
ΔH_f (0 K)	1.072	eV per atom

Unit cell a=13.5852 b=13.5852 c=13.5852 alpha=165.17 beta=165.17 gamma=21.04
With the nearest neighbours (Å) after each atom.
Positions (direct):
1 Rb 0.1345 0.1345 0.0000  4 Rb 3.51, 4 Os 3.55
2 Rb 0.8655 0.8655 0.0000  4 Rb 3.51, 4 Os 3.55
3 Sc 0.5000 0.5000 0.0000  4 Sc 3.51
4 Os 0.2500 0.7500 0.5000  4 Os 2.48
5 Os 0.7500 0.2500 0.5000  4 Os 2.48



Entry 4:
Compound: Rb2ScOs
Source: Alexandria via LeMat-Bulk
Functional: PBE
Structure: relaxed

Output
ΔH_f (0 K)	1.321	eV per atom

Unit cell a=13.0185 b=13.0185 c=13.0185 alpha=161.48 beta=161.48 gamma=26.31
With the nearest neighbours (Å) after each atom.
Positions (direct):
1 Rb 0.1214 0.6250 0.9964  4 Rb 2.94-2.98
2 Rb 0.3750 0.3714 0.4964  4 Rb 2.94-2.98
3 Rb 0.6286 0.1250 0.0036  4 Rb 2.94-2.98
4 Rb 0.8750 0.8786 0.5036  4 Rb 2.94-2.98
5 Sc 0.2500 0.7500 0.5000  4 Os 2.96
6 Sc 0.5000 0.5000 0.0000  4 Os 2.96
7 Os 0.0000 0.0000 0.0000  4 Sc 2.96
8 Os 0.7500 0.2500 0.5000  4 Sc 2.96



Entry 5:
Compound: RbSc3Os
Source: Alexandria via LeMat-Bulk
Functional: PBE
Structure: relaxed

Output
ΔH_f (0 K)	1.974	eV per atom

Unit cell a=4.8036 b=4.8036 c=4.8036 alpha=90.00 beta=90.00 gamma=90.00
With the nearest neighbours (Å) after each atom.
Positions (direct):
1 Rb 0.0000 0.0000 0.0000  6 Sc 2.40
2 Sc 0.0000 0.0000 0.5000  2 Rb 2.40
3 Sc 0.0000 0.5000 0.0000  2 Rb 2.40
4 Sc 0.5000 0.0000 0.0000  2 Rb 2.40
5 Os 0.5000 0.5000 0.5000  12 Sc 3.40



Entry 6:
Compound: RbScOs3
Source: Alexandria via LeMat-Bulk
Functional: PBE
Structure: relaxed

Output
ΔH_f (0 K)	2.330	eV per atom

Unit cell a=4.9080 b=4.9080 c=4.9080 alpha=90.00 beta=90.00 gamma=90.00
With the nearest neighbours (Å) after each atom.
Positions (direct):
1 Rb 0.0000 0.0000 0.0000  12 Os 3.47
2 Sc 0.5000 0.5000 0.5000  6 Os 2.45
3 Os 0.0000 0.5000 0.5000  2 Sc 2.45
4 Os 0.5000 0.0000 0.5000  2 Sc 2.45
5 Os 0.5000 0.5000 0.0000  2 Sc 2.45



Entry 7:
Compound: RbSc2Os
Source: Alexandria via LeMat-Bulk
Functional: PBE
Structure: relaxed

Output
ΔH_f (0 K)	0.672	eV per atom

Unit cell a=4.9671 b=4.9671 c=4.9671 alpha=60.00 beta=60.00 gamma=60.00
With the nearest neighbours (Å) after each atom.
Positions (direct):
1 Rb 0.0000 0.0000 0.0000  8 Sc 3.04
2 Sc 0.2500 0.2500 0.2500  4 Os 3.04, 4 Rb 3.04
3 Sc 0.7500 0.7500 0.7500  4 Os 3.04, 4 Rb 3.04
4 Os 0.5000 0.5000 0.5000  8 Sc 3.04



Entry 8:
Compound: RbSc3Os
Source: Alexandria via LeMat-Bulk
Functional: PBE
Structure: relaxed

Output
ΔH_f (0 K)	0.163	eV per atom

Unit cell a=5.2383 b=5.2383 c=5.2383 alpha=90.00 beta=90.00 gamma=90.00
With the nearest neighbours (Å) after each atom.
Positions (direct):
1 Rb 0.0000 0.0000 0.0000  12 Sc 3.70
2 Sc 0.0000 0.5000 0.5000  2 Os 2.62
3 Sc 0.5000 0.0000 0.5000  2 Os 2.62
4 Sc 0.5000 0.5000 0.0000  2 Os 2.62
5 Os 0.5000 0.5000 0.5000  6 Sc 2.62



Entry 9:
Compound: Rb2ScOs2
Source: Alexandria via LeMat-Bulk
Functional: PBE
Structure: relaxed

Output
ΔH_f (0 K)	1.870	eV per atom

Unit cell a=9.7269 b=9.7269 c=2.7094 alpha=90.00 beta=90.00 gamma=90.00
With the nearest neighbours (Å) after each atom.
Positions (direct):
1 Rb 0.1122 0.3878 0.0000  2 Rb 2.71
2 Rb 0.3878 0.8878 0.0000  2 Rb 2.71
3 Rb 0.6122 0.1122 0.0000  2 Rb 2.71
4 Rb 0.8878 0.6122 0.0000  2 Rb 2.71
5 Sc 0.0000 0.0000 0.0000  2 Sc 2.71
6 Sc 0.5000 0.5000 0.0000  2 Sc 2.71
7 Os 0.1897 0.6897 0.5000  2 Os 2.71
8 Os 0.3103 0.1897 0.5000  2 Os 2.71
9 Os 0.6897 0.8103 0.5000  2 Os 2.71
10 Os 0.8103 0.3103 0.5000  2 Os 2.71



Entry 10:
Compound: RbScOs3
Source: Alexandria via LeMat-Bulk
Functional: PBE
Structure: relaxed

Output
ΔH_f (0 K)	3.322	eV per atom

Unit cell a=4.7217 b=4.7217 c=4.7217 alpha=90.00 beta=90.00 gamma=90.00
With the nearest neighbours (Å) after each atom.
Positions (direct):
1 Rb 0.0000 0.0000 0.0000  6 Os 2.36
2 Sc 0.5000 0.5000 0.5000  12 Os 3.34
3 Os 0.0000 0.0000 0.5000  2 Rb 2.36
4 Os 0.0000 0.5000 0.0000  2 Rb 2.36
5 Os 0.5000 0.0000 0.0000  2 Rb 2.36



Entry 11:
Compound: RbSc2Os
Source: Alexandria via LeMat-Bulk
Functional: PBE
Structure: relaxed

Output
ΔH_f (0 K)	0.880	eV per atom

Unit cell a=11.9109 b=11.9109 c=11.9109 alpha=15.37 beta=15.37 gamma=15.37
With the nearest neighbours (Å) after each atom.
Positions (direct):
1 Rb 0.0000 0.0000 0.0000  6 Rb 3.19
2 Sc 0.4323 0.4323 0.4323  1 Os 2.39
3 Sc 0.5677 0.5677 0.5677  1 Os 2.39
4 Os 0.5000 0.5000 0.5000  2 Sc 2.39



Entry 12:
Compound: Rb4ScOs2
Source: Alexandria via LeMat-Bulk
Functional: PBE
Structure: relaxed

Output
ΔH_f (0 K)	1.655	eV per atom

Unit cell a=9.5838 b=9.5838 c=9.5838 alpha=138.61 beta=138.61 gamma=59.97
With the nearest neighbours (Å) after each atom.
Positions (direct):
1 Rb 0.0000 0.5000 0.5000  2 Sc 3.39, 4 Os 3.57
2 Rb 0.2273 0.2273 0.0000  1 Os 3.41, 1 Sc 3.77
3 Rb 0.5000 0.0000 0.5000  2 Sc 3.39, 4 Os 3.57
4 Rb 0.7727 0.7727 0.0000  1 Os 3.41, 1 Sc 3.77
5 Sc 0.0000 0.0000 0.0000  6 Rb 3.39-3.77
6 Os 0.4328 0.4328 0.0000  1 Os 2.23
7 Os 0.5672 0.5672 0.0000  1 Os 2.23



Entry 13:
Compound: RbSc2Os
Source: Alexandria via LeMat-Bulk
Functional: PBE
Structure: relaxed

Output
ΔH_f (0 K)	0.228	eV per atom

Unit cell a=10.5336 b=10.5336 c=10.5336 alpha=21.79 beta=21.79 gamma=21.79
With the nearest neighbours (Å) after each atom.
Positions (direct):
1 Rb 0.0000 0.0000 0.0000  2 Sc 3.91, 6 Rb 3.98
2 Sc 0.1269 0.1269 0.1269  3 Os 2.61
3 Sc 0.8731 0.8731 0.8731  3 Os 2.61
4 Os 0.5000 0.5000 0.5000  6 Sc 2.61



Entry 14:
Compound: Rb2ScTaOs
Source: Alexandria via LeMat-Bulk
Functional: PBE
Structure: relaxed

Output
ΔH_f (0 K)	1.722	eV per atom

Unit cell a=6.5701 b=6.5701 c=4.7252 alpha=90.00 beta=90.00 gamma=90.00
With the nearest neighbours (Å) after each atom.
Positions (direct):
1 Rb 0.0000 0.5000 0.0000  2 Os 3.29
2 Rb 0.5000 0.0000 0.0000  2 Os 3.29
3 Sc 0.0000 0.0000 0.5000  8 Rb 4.05
4 Ta 0.5000 0.5000 0.5000  2 Os 2.36
5 Os 0.5000 0.5000 0.0000  2 Ta 2.36



no.,spin magnetization (μB per formula unit)
1,0.0
2,0.0
3,1.1
4,0.7
5,0.6
6,2.8
7,0.0
8,0.0
9,0.5
10,0.0
11,0.0
12,1.8
13,0.0
14,1.7